No. 1
# InFe2Te (meta-GGA SCAN, PBEsol geometry)
data_InFe2Te
_symmetry_space_group_name_H-M 'F -4 3 m'
_symmetry_Int_Tables_number 216
_symmetry_space_group_name_Hall 'F -4 2 3'
_cell_length_a 6.566
_cell_length_b 6.566
_cell_length_c 6.566
_cell_angle_alpha 90.00
_cell_angle_beta 90.00
_cell_angle_gamma 90.00
loop_
_atom_site_label
_atom_site_type_symbol
_atom_site_fract_x
_atom_site_fract_y
_atom_site_fract_z
In1 In 0.000 0.000 0.000
Fe1 Fe 0.000 0.000 0.500
Fe2 Fe 0.250 0.250 0.250
Te1 Te 0.250 0.250 0.750
# - formation energy from raw total energies (eV/atom) = 0.6301
# - DFT total energy (eV per atom) = -26.09
# - size of the total moment (μB per formula unit) = 5.14
# - Fermi-level density of states (states/eV/atom) = 0.26
# - offset from the most stable computed form (meV/atom) = 148

=====

No. 2
# In3FeTe (meta-GGA SCAN, PBEsol geometry)
data_In3FeTe
_symmetry_space_group_name_H-M 'P m -3 m'
_symmetry_Int_Tables_number 221
_symmetry_space_group_name_Hall '-P 4 2 3'
_cell_length_a 5.609
_cell_length_b 5.609
_cell_length_c 5.609
_cell_angle_alpha 90.00
_cell_angle_beta 90.00
_cell_angle_gamma 90.00
loop_
_atom_site_label
_atom_site_type_symbol
_atom_site_fract_x
_atom_site_fract_y
_atom_site_fract_z
In1 In 0.000 0.000 0.500
Fe1 Fe 0.500 0.500 0.500
Te1 Te 0.000 0.000 0.000
# - formation energy from raw total energies (eV/atom) = 1.1894
# - DFT total energy (eV per atom) = -29.92
# - size of the total moment (μB per formula unit) = 3.18
# - Fermi-level density of states (states/eV/atom) = 1.67

=====

No. 3
# InFeTe (meta-GGA SCAN, PBEsol geometry)
data_InFeTe
_symmetry_space_group_name_H-M 'F -4 3 m'
_symmetry_Int_Tables_number 216
_symmetry_space_group_name_Hall 'F -4 2 3'
_cell_length_a 6.715
_cell_length_b 6.715
_cell_length_c 6.715
_cell_angle_alpha 90.00
_cell_angle_beta 90.00
_cell_angle_gamma 90.00
loop_
_atom_site_label
_atom_site_type_symbol
_atom_site_fract_x
_atom_site_fract_y
_atom_site_fract_z
In1 In 0.000 0.000 0.000
Fe1 Fe 0.000 0.000 0.500
Te1 Te 0.250 0.250 0.250
# - formation energy from raw total energies (eV/atom) = 0.5835
# - DFT total energy (eV per atom) = -29.01
# - size of the total moment (μB per formula unit) = 2.98
# - Fermi-level density of states (states/eV/atom) = 0.26
# - offset from the most stable computed form (meV/atom) = 281

=====

No. 4
# InFe3Te (meta-GGA SCAN, PBEsol geometry)
data_InFe3Te
_symmetry_space_group_name_H-M 'P m -3 m'
_symmetry_Int_Tables_number 221
_symmetry_space_group_name_Hall '-P 4 2 3'
_cell_length_a 4.714
_cell_length_b 4.714
_cell_length_c 4.714
_cell_angle_alpha 90.00
_cell_angle_beta 90.00
_cell_angle_gamma 90.00
loop_
_atom_site_label
_atom_site_type_symbol
_atom_site_fract_x
_atom_site_fract_y
_atom_site_fract_z
In1 In 0.000 0.000 0.000
Fe1 Fe 0.000 0.000 0.500
Te1 Te 0.500 0.500 0.500
# - formation energy from raw total energies (eV/atom) = 1.3539
# - DFT total energy (eV per atom) = -23.65
# - size of the total moment (μB per formula unit) = 8.95
# - Fermi-level density of states (states/eV/atom) = 1.62

=====

No. 5
# InFeTe2 (meta-GGA SCAN, PBEsol geometry)
data_InFeTe2
_symmetry_space_group_name_H-M 'P m m m'
_symmetry_Int_Tables_number 47
_cell_length_a 3.851
_cell_length_b 4.234
_cell_length_c 6.114
_cell_angle_alpha 90.00
_cell_angle_beta 90.00
_cell_angle_gamma 90.00
loop_
_symmetry_equiv_pos_as_xyz
'x,y,z'
'-x,-y,-z'
'-x,-y,z'
'x,y,-z'
'x,-y,-z'
'-x,y,z'
'-x,y,-z'
'x,-y,z'
loop_
_atom_site_label
_atom_site_type_symbol
_atom_site_fract_x
_atom_site_fract_y
_atom_site_fract_z
In1 In 0.000 0.000 0.000
Fe1 Fe 0.000 0.500 0.500
Te1 Te 0.500 0.000 0.500
Te2 Te 0.500 0.500 0.000
# - formation energy from raw total energies (eV/atom) = 0.3745
# - DFT total energy (eV per atom) = -31.13
# - size of the total moment (μB per formula unit) = 3.62
# - Fermi-level density of states (states/eV/atom) = 0.83

=====

No. 6
# InFeTe (meta-GGA SCAN, PBEsol geometry)
data_InFeTe
_symmetry_space_group_name_H-M 'P 3 m 1'
_symmetry_Int_Tables_number 156
_cell_length_a 4.3805
_cell_length_b 4.3805
_cell_length_c 4.0285
_cell_angle_alpha 90.00
_cell_angle_beta 90.00
_cell_angle_gamma 120.00
loop_
_symmetry_equiv_pos_as_xyz
'x,y,z'
'-y,x-y,z'
'-x+y,-x,z'
'-y,-x,z'
'-x+y,y,z'
'x,x-y,z'
loop_
_atom_site_label
_atom_site_type_symbol
_atom_site_fract_x
_atom_site_fract_y
_atom_site_fract_z
In1 In 0.0000 0.0000 0.0000
Fe1 Fe 0.6667 0.3333 0.5041
Te1 Te 0.3333 0.6667 0.4999
# - formation energy from raw total energies (eV/atom) = 0.3025
# - DFT total energy (eV per atom) = -29.29
# - size of the total moment (μB per formula unit) = 2.95
# - Fermi-level density of states (states/eV/atom) = 0.56
# - offset from the most stable computed form (meV/atom) = 0

=====

No. 7
# TiInFe3 (meta-GGA SCAN, PBEsol geometry)
data_TiInFe3
_symmetry_space_group_name_H-M 'P m -3 m'
_symmetry_Int_Tables_number 221
_symmetry_space_group_name_Hall '-P 4 2 3'
_cell_length_a 4.624
_cell_length_b 4.624
_cell_length_c 4.624
_cell_angle_alpha 90.00
_cell_angle_beta 90.00
_cell_angle_gamma 90.00
loop_
_atom_site_label
_atom_site_type_symbol
_atom_site_fract_x
_atom_site_fract_y
_atom_site_fract_z
Ti1 Ti 0.000 0.000 0.000
In1 In 0.500 0.500 0.500
Fe1 Fe 0.000 0.500 0.500
# - DFT total energy (eV per atom) = -19.41
# - size of the total moment (μB per formula unit) = 7.02
# - Fermi-level density of states (states/eV/atom) = 0.70
# - calculated formation energy (eV/atom) = 1.35

=====

No. 8
# TlInFe2 (meta-GGA SCAN, PBEsol geometry)
data_TlInFe2
_symmetry_space_group_name_H-M 'P 1 m 1'
_symmetry_Int_Tables_number 6
_cell_length_a 3.369
_cell_length_b 3.974
_cell_length_c 5.295
_cell_angle_alpha 90.00
_cell_angle_beta 108.22
_cell_angle_gamma 90.00
loop_
_symmetry_equiv_pos_as_xyz
'x,y,z'
'x,-y,z'
loop_
_atom_site_label
_atom_site_type_symbol
_atom_site_fract_x
_atom_site_fract_y
_atom_site_fract_z
Tl1 Tl 0.000 0.000 0.000
In1 In 0.303 0.500 0.614
Fe1 Fe 0.593 0.500 0.186
Fe2 Fe 0.716 0.000 0.442
# - DFT total energy (eV per atom) = -35.04
# - size of the total moment (μB per formula unit) = 5.06
# - Fermi-level density of states (states/eV/atom) = 0.85
# - calculated formation energy (eV/atom) = 0.47
# - offset from the most stable computed form (meV/atom) = 0

=====

No. 9
# TlInFe2 (meta-GGA SCAN, PBEsol geometry)
data_TlInFe2
_symmetry_space_group_name_H-M 'C m m m'
_symmetry_Int_Tables_number 65
_symmetry_space_group_name_Hall '-C 2 2'
_cell_length_a 6.314
_cell_length_b 6.333
_cell_length_c 3.163
_cell_angle_alpha 90.00
_cell_angle_beta 90.00
_cell_angle_gamma 90.00
loop_
_atom_site_label
_atom_site_type_symbol
_atom_site_fract_x
_atom_site_fract_y
_atom_site_fract_z
Tl1 Tl 0.000 0.000 0.000
In1 In 0.000 0.500 0.000
Fe1 Fe 0.250 0.250 0.500
# - DFT total energy (eV per atom) = -34.92
# - size of the total moment (μB per formula unit) = 5.06
# - Fermi-level density of states (states/eV/atom) = 0.93
# - calculated formation energy (eV/atom) = 0.58
# - offset from the most stable computed form (meV/atom) = 115

=====

No. 10
# TlIn2Fe (meta-GGA SCAN, PBEsol geometry)
data_TlIn2Fe
_symmetry_space_group_name_H-M 'P 4/m m m'
_symmetry_Int_Tables_number 123
_symmetry_space_group_name_Hall '-P 4 2'
_cell_length_a 3.079
_cell_length_b 3.079
_cell_length_c 8.925
_cell_angle_alpha 90.00
_cell_angle_beta 90.00
_cell_angle_gamma 90.00
loop_
_atom_site_label
_atom_site_type_symbol
_atom_site_fract_x
_atom_site_fract_y
_atom_site_fract_z
Tl1 Tl 0.000 0.000 0.000
In1 In 0.500 0.500 0.312
Fe1 Fe 0.000 0.000 0.500
# - DFT total energy (eV per atom) = -39.08
# - size of the total moment (μB per formula unit) = 2.71
# - Fermi-level density of states (states/eV/atom) = 0.55
# - calculated formation energy (eV/atom) = 0.24

=====

No. 11
# TlInFe (meta-GGA SCAN, PBEsol geometry)
data_TlInFe
_symmetry_space_group_name_H-M 'F -4 3 m'
_symmetry_Int_Tables_number 216
_symmetry_space_group_name_Hall 'F -4 2 3'
_cell_length_a 6.512
_cell_length_b 6.512
_cell_length_c 6.512
_cell_angle_alpha 90.00
_cell_angle_beta 90.00
_cell_angle_gamma 90.00
loop_
_atom_site_label
_atom_site_type_symbol
_atom_site_fract_x
_atom_site_fract_y
_atom_site_fract_z
Tl1 Tl 0.000 0.000 0.000
In1 In 0.250 0.250 0.250
Fe1 Fe 0.000 0.000 0.500
# - DFT total energy (eV per atom) = -40.61
# - size of the total moment (μB per formula unit) = 3.09
# - Fermi-level density of states (states/eV/atom) = 1.31
# - calculated formation energy (eV/atom) = 0.68

=====

No. 12
# Tm12In2Fe3 (meta-GGA SCAN, PBEsol geometry)
data_Tm12In2Fe3
_symmetry_space_group_name_H-M 'I 4/m m m'
_symmetry_Int_Tables_number 139
_symmetry_space_group_name_Hall '-I 4 2'
_cell_length_a 9.442
_cell_length_b 9.442
_cell_length_c 9.140
_cell_angle_alpha 90.00
_cell_angle_beta 90.00
_cell_angle_gamma 90.00
loop_
_atom_site_label
_atom_site_type_symbol
_atom_site_fract_x
_atom_site_fract_y
_atom_site_fract_z
Tm1 Tm 0.000 0.237 0.192
Tm2 Tm 0.194 0.194 0.500
In1 In 0.000 0.500 0.000
Fe1 Fe 0.000 0.000 0.000
Fe2 Fe 0.000 0.000 0.385
# - DFT total energy (eV per atom) = -43.91
# - size of the total moment (μB per formula unit) = 0.00
# - Fermi-level density of states (states/eV/atom) = 0.66
# - calculated formation energy (eV/atom) = -0.20

=====

Which value of size of the total moment does entry 6 give? 2.95 μB per formula unit

=====

Among the records above, which one has the highest DFT total energy? TiInFe3

=====

What is the Fermi-level density of states in the twelfth record? 0.66 states/eV/atom

=====

Which formula does entry 3 have? InFeTe